LiHfTc2 | PBE-GGA | optimized geometry

Structure (POSCAR):
```
LiHfTc2
1.0
0.6835 -4.2744 0.9625
-3.2933 -2.4484 1.6802
-1.8959 -3.1590 -2.4678
Li Tc Hf
1 2 1
Direct
0.5000 0.5000 0.5000 Li
0.7500 0.7500 0.7500 Tc
0.0000 0.0000 0.0000 Tc
0.2500 0.2500 0.2500 Hf
```

Output
V: 15.41 Å³/atom
Uncorrected energy: -8.14 eV per atom
SG: F-43m (216)

LiHf2Tc | PBE-GGA | optimized geometry

Structure (POSCAR):
```
LiHf2Tc
1.0
4.5340 -0.2538 -0.7691
2.4486 -3.4668 1.7884
1.6888 -3.2856 -2.7506
Tc Hf Li
1 2 1
Direct
0.2500 0.2500 0.2500 Tc
0.0000 0.0000 0.0000 Hf
0.7500 0.7500 0.7500 Hf
0.5000 0.5000 0.5000 Li
```

Output
V: 17.27 Å³/atom
Uncorrected energy: -7.84 eV per atom
SG: F-43m (216)

Li2HfTc | PBE-GGA | optimized geometry

Structure (POSCAR):
```
Li2HfTc
1.0
-3.8108 2.3284 0.1451
-1.4082 2.2082 -3.6202
-3.5859 -1.4419 -2.2421
Li Tc Hf
2 1 1
Direct
0.0000 0.0000 0.0000 Li
0.7500 0.7500 0.7500 Li
0.5000 0.5000 0.5000 Tc
0.2500 0.2500 0.2500 Hf
```

Output
V: 15.77 Å³/atom
Uncorrected energy: -5.75 eV per atom
SG: F-43m (216)

LiHfTe2 | PBE-GGA | optimized geometry

Structure (POSCAR):
```
LiHfTe2
1.0
0.0000 3.6039 3.6039
3.6039 0.0000 3.6039
3.6039 3.6039 0.0000
Hf Li Te
1 1 2
Direct
0.5000 0.5000 0.5000 Hf
0.7500 0.7500 0.7500 Li
0.0000 0.0000 0.0000 Te
0.2500 0.2500 0.2500 Te
```

Output
V: 23.40 Å³/atom
Uncorrected energy: -4.39 eV per atom
SG: F-43m (216)